DFT (PBE) results for Pm4NdIn3 after structural relaxation.

Values from the calculation:
DFT formation energy: -0.3270 eV per atom
N(E_F): 1.363 states/eV per atom
ρ: 7.35 g/cm³
VASP energy: -34.60 eV/f.u.
Space group: R-3m, No. 166

Cell and atoms, written as POSCAR:
```
Pm4NdIn3
1.0
-4.432 -1.777 2.728
-2.103 -4.960 -1.105
3.277 -5.989 6.963
Pm In Nd
4 3 1
direct
0.869 0.869 0.394
0.385 0.385 0.844
0.615 0.615 0.156
0.131 0.131 0.606
0.500 0.500 0.500
0.740 0.740 0.780
0.260 0.260 0.220
0.000 0.000 0.000
```

DFT (PBE) results for Pm3Nd6In after structural relaxation.

Values from the calculation:
DFT formation energy: -0.0383 eV per atom
N(E_F): 1.416 states/eV per atom
ρ: 6.90 g/cm³
VASP energy: -45.98 eV/f.u.
ΔE to the lowest computed polymorph: 0.000 eV per atom
Space group: P2_1/m, No. 11

Cell and atoms, written as POSCAR:
```
Pm3Nd6In
1.0
3.639 0.000 0.000
0.000 16.288 -4.918
0.000 -9.387 14.322
In Pm Nd
2 6 12
direct
0.250 0.038 0.360
0.750 0.962 0.640
0.250 0.852 0.885
0.250 0.556 0.130
0.750 0.444 0.870
0.250 0.346 0.627
0.750 0.654 0.373
0.750 0.148 0.115
0.750 0.952 0.137
0.750 0.134 0.585
0.250 0.656 0.902
0.250 0.228 0.831
0.750 0.759 0.642
0.250 0.048 0.863
0.250 0.866 0.415
0.750 0.543 0.631
0.750 0.344 0.098
0.250 0.241 0.358
0.750 0.772 0.169
0.250 0.457 0.369
```

DFT (PBE) results for Pm2Pr2Nd2In after structural relaxation.

Values from the calculation:
DFT formation energy: -0.0926 eV per atom
N(E_F): 1.377 states/eV per atom
ρ: 6.81 g/cm³
VASP energy: -31.98 eV/f.u.
Space group: C2/m, No. 12

Cell and atoms, written as POSCAR:
```
Pm2Pr2Nd2In
1.0
5.648 0.000 0.000
-2.824 8.425 -2.216
0.000 -3.413 5.897
Nd In Pm Pr
2 1 2 2
direct
0.744 0.488 0.139
0.256 0.512 0.861
0.000 0.000 0.500
0.437 0.874 0.639
0.563 0.126 0.361
0.866 0.732 0.846
0.134 0.268 0.154
```

DFT (PBE) results for Pm2Pr3Nd6In after structural relaxation.

Values from the calculation:
DFT formation energy: -0.0463 eV per atom
N(E_F): 1.325 states/eV per atom
ρ: 6.89 g/cm³
VASP energy: -55.74 eV/f.u.
Space group: C2/m, No. 12

Cell and atoms, written as POSCAR:
```
Pm2Pr3Nd6In
1.0
-5.855 2.326 -0.281
1.968 -3.014 5.177
5.189 10.506 2.842
Nd Pr In Pm
6 3 1 2
direct
0.243 0.243 0.754
0.919 0.595 0.756
0.595 0.919 0.756
0.081 0.405 0.244
0.757 0.757 0.246
0.405 0.081 0.244
0.500 0.500 0.500
0.169 0.831 0.500
0.831 0.169 0.500
0.000 0.000 0.000
0.334 0.666 0.000
0.666 0.334 0.000
```